DFT (PBE-GGA) results for an optimized crystal structure of Ba2NaIrSe6.

## Properties
E above lowest polymorph, eV/atom: 0.077
DFT total energy, eV/atom: -4.295

Lattice parameters (Å, degrees): 7.3139 7.3139 7.3139 120.02 120.02 89.96
Fractional coordinates of all 10 atoms:
Ba 0.2500 0.7500 0.5000
Ba 0.7500 0.2500 0.5000
Na 0.0000 0.0000 0.0000
Ir 0.5000 0.5000 0.0000
Se 0.2536 0.2679 0.5215
Se 0.2608 0.2608 0.0000
Se 0.2679 0.7464 0.0143
Se 0.7321 0.2536 0.9857
Se 0.7392 0.7392 0.0000
Se 0.7464 0.7321 0.4785

=====

DFT (PBE-GGA) results for an optimized crystal structure of Ba2NaIrSe6.

## Properties
E above lowest polymorph, eV/atom: 0.002
DFT total energy, eV/atom: -4.370

Lattice parameters (Å, degrees): 7.3724 7.3724 8.4671 124.69 124.69 49.22
Fractional coordinates of all 10 atoms:
Ba 0.2447 0.2447 0.2267
Ba 0.7553 0.7553 0.7733
Na 0.0000 0.0000 0.5000
Ir 0.5000 0.5000 0.0000
Se 0.2094 0.6804 0.7133
Se 0.2679 0.2679 0.8629
Se 0.3196 0.7906 0.2867
Se 0.6804 0.2094 0.7133
Se 0.7321 0.7321 0.1371
Se 0.7906 0.3196 0.2867

=====

DFT (PBE-GGA) results for an optimized crystal structure of Ba2NaIrSe6.

## Properties
E above lowest polymorph, eV/atom: 0.077
DFT total energy, eV/atom: -4.295

Lattice parameters (Å, degrees): 7.3121 7.3121 7.3121 60.00 60.00 60.00
Fractional coordinates of all 10 atoms:
Ba 0.2500 0.2500 0.2500
Ba 0.7500 0.7500 0.7500
Na 0.0000 0.0000 0.0000
Ir 0.5000 0.5000 0.5000
Se 0.2607 0.2607 0.7393
Se 0.2607 0.7393 0.2607
Se 0.2607 0.7393 0.7393
Se 0.7393 0.2607 0.2607
Se 0.7393 0.2607 0.7393
Se 0.7393 0.7393 0.2607

=====

DFT (PBE-GGA) results for an optimized crystal structure of BaNaIrW.

## Properties
E above lowest polymorph, eV/atom: 0.000
DFT total energy, eV/atom: -5.215

Lattice parameters (Å, degrees): 4.8882 4.8882 4.8882 60.00 60.00 60.00
Fractional coordinates of all 4 atoms:
Ba 0.0000 0.0000 0.0000
Na 0.7500 0.7500 0.7500
Ir 0.5000 0.5000 0.5000
W 0.2500 0.2500 0.2500